Record 1
Material: Dy2ScIn4
Method: DFT, GGA-PBE
State: relaxed

abc: 8.0681 8.0681 8.0681
angles: 142.95 142.95 53.40
Closest atoms and distances in Å follow each position.
Fractional positions:
1 Dy 0.2479 0.2479 0.0000  8 In 3.26-3.29, 1 Sc 3.57, 4 Dy 3.63
2 Dy 0.7521 0.7521 0.0000  8 In 3.26-3.29, 1 Sc 3.57, 4 Dy 3.63
3 Sc 0.0000 0.0000 0.0000  8 In 3.00
4 In 0.1087 0.6087 0.5000  2 Sc 3.00, 1 In 3.13, 4 Dy 3.26-3.29
5 In 0.3913 0.8913 0.5000  2 Sc 3.00, 1 In 3.13, 4 Dy 3.26-3.29
6 In 0.6087 0.1087 0.5000  2 Sc 3.00, 1 In 3.13, 4 Dy 3.26-3.29
7 In 0.8913 0.3913 0.5000  2 Sc 3.00, 1 In 3.13, 4 Dy 3.26-3.29

Calculated values
Formation enthalpy at 0 K, eV/f.u.: -2.29
Calculated volume, A^3/atom: 27.07
N(E_F), states/eV per atom: 0.86
Magnetic moment, μB/f.u.: 0.005
Energy above the most stable polymorph in this dataset, eV/atom: 0.000
VASP energy, eV/atom: -4.11

Record 2
Material: DyScIn
Method: DFT, GGA-PBE
State: relaxed

abc: 7.0597 7.0597 7.0597
angles: 151.92 151.92 40.13
Closest atoms and distances in Å follow each position.
Fractional positions:
1 Dy 0.0000 0.0000 0.0000  4 In 3.30, 4 Sc 3.42, 4 Dy 3.43
2 Sc 0.6821 0.6821 0.0000  4 In 3.12, 4 Dy 3.42, 4 Sc 3.43
3 In 0.3305 0.3305 0.0000  4 Sc 3.12, 4 Dy 3.30, 4 In 3.43

Calculated values
Formation enthalpy at 0 K, eV/f.u.: -0.90
Calculated volume, A^3/atom: 25.94
N(E_F), states/eV per atom: 1.18
Magnetic moment, μB/f.u.: 0.000
Energy above the most stable polymorph in this dataset, eV/atom: 0.070
VASP energy, eV/atom: -4.86

Record 3
Material: Dy8Sc2In
Method: DFT, GGA-PBE
State: relaxed

abc: 9.1043 9.1043 7.7739
angles: 105.39 105.39 31.11
Closest atoms and distances in Å follow each position.
Fractional positions:
1 Dy 0.0463 0.0463 0.2248  1 Sc 3.39, 9 Dy 3.42-3.51, 2 In 3.49
2 Dy 0.1378 0.1378 0.6852  3 Sc 3.40-3.45, 7 Dy 3.40-3.50, 2 In 3.46
3 Dy 0.3183 0.3183 0.5879  8 Dy 3.43-3.51, 1 In 3.44, 3 Sc 3.46-3.48
4 Dy 0.4060 0.4060 0.0523  3 Sc 3.38-3.41, 8 Dy 3.40-3.61, 1 In 3.42
5 Dy 0.5940 0.5940 0.9477  3 Sc 3.38-3.41, 8 Dy 3.40-3.61, 1 In 3.42
6 Dy 0.6817 0.6817 0.4121  8 Dy 3.43-3.51, 1 In 3.44, 3 Sc 3.46-3.48
7 Dy 0.8622 0.8622 0.3148  3 Sc 3.40-3.45, 7 Dy 3.40-3.50, 2 In 3.46
8 Dy 0.9537 0.9537 0.7752  1 Sc 3.39, 9 Dy 3.42-3.51, 2 In 3.49
9 Sc 0.2244 0.2244 0.1334  10 Dy 3.38-3.48, 2 Sc 3.48
10 Sc 0.7756 0.7756 0.8666  10 Dy 3.38-3.48, 2 Sc 3.48
11 In 0.5000 0.5000 0.5000  12 Dy 3.42-3.49

Calculated values
Formation enthalpy at 0 K, eV/f.u.: -0.64
Calculated volume, A^3/atom: 29.10
N(E_F), states/eV per atom: 1.40
Magnetic moment, μB/f.u.: 0.000
VASP energy, eV/atom: -4.81

Record 4
Material: Dy2Sc3In
Method: DFT, GGA-PBE
State: relaxed

abc: 7.5778 7.5778 4.6504
angles: 90.00 90.00 144.26
Closest atoms and distances in Å follow each position.
Fractional positions:
1 Dy 0.1610 0.8390 0.0000  2 In 3.29, 8 Sc 3.29-3.40, 2 Dy 3.46
2 Dy 0.8390 0.1610 0.0000  2 In 3.29, 8 Sc 3.29-3.40, 2 Dy 3.46
3 Sc 0.0000 0.0000 0.5000  4 Dy 3.29, 4 In 3.29, 4 Sc 3.34
4 Sc 0.3334 0.6666 0.5000  6 Dy 3.29-3.40, 4 Sc 3.34-3.35, 2 In 3.34
5 Sc 0.6666 0.3334 0.5000  6 Dy 3.29-3.40, 4 Sc 3.34-3.35, 2 In 3.34
6 In 0.5000 0.5000 0.0000  4 Dy 3.29, 8 Sc 3.29-3.34

Calculated values
Formation enthalpy at 0 K, eV/f.u.: -0.84
Calculated volume, A^3/atom: 25.99
N(E_F), states/eV per atom: 1.33
Magnetic moment, μB/f.u.: 0.000
Energy above the most stable polymorph in this dataset, eV/atom: 0.000
VASP energy, eV/atom: -5.30

Record 5
Material: Dy3Sc4In4
Method: DFT, GGA-PBE
State: relaxed

abc: 9.2641 9.2641 9.2641
angles: 148.38 136.00 55.19
Closest atoms and distances in Å follow each position.
Fractional positions:
1 Dy 0.0000 0.0000 0.0000  6 In 3.06-3.22
2 Dy 0.3883 0.8883 0.5000  4 Sc 3.36, 6 In 3.45-3.68, 1 Dy 3.67
3 Dy 0.6117 0.1117 0.5000  4 Sc 3.36, 6 In 3.45-3.68, 1 Dy 3.67
4 Sc 0.0444 0.3213 0.7231  4 In 2.93-2.97, 1 Sc 3.10
5 Sc 0.4019 0.6787 0.7231  4 In 2.93-2.97, 1 Sc 3.10
6 Sc 0.5981 0.3213 0.2769  4 In 2.93-2.97, 1 Sc 3.10
7 Sc 0.9556 0.6787 0.2769  4 In 2.93-2.97, 1 Sc 3.10
8 In 0.1865 0.1865 0.0000  6 Sc 2.93-2.96, 1 Dy 3.06
9 In 0.2873 0.5000 0.7873  1 In 2.95, 2 Sc 2.97, 2 Dy 3.22
10 In 0.7127 0.5000 0.2127  1 In 2.95, 2 Sc 2.97, 2 Dy 3.22
11 In 0.8135 0.8135 0.0000  6 Sc 2.93-2.96, 1 Dy 3.06

Calculated values
Formation enthalpy at 0 K, eV/f.u.: -3.04
Calculated volume, A^3/atom: 26.15
N(E_F), states/eV per atom: 1.10
Magnetic moment, μB/f.u.: 0.341
VASP energy, eV/atom: -4.83

Record 6
Material: Dy2Sc6In
Method: DFT, GGA-PBE
State: relaxed

abc: 9.0011 9.0011 9.0011
angles: 159.01 115.49 68.65
Closest atoms and distances in Å follow each position.
Fractional positions:
1 Dy 0.1473 0.1473 0.0000  10 Sc 3.27-3.44, 2 Dy 3.28
2 Dy 0.8527 0.8527 0.0000  10 Sc 3.27-3.44, 2 Dy 3.28
3 Sc 0.1581 0.8210 0.3371  1 In 3.09, 7 Sc 3.13-3.34, 3 Dy 3.27-3.44
4 Sc 0.2146 0.5000 0.7146  2 In 3.19, 6 Sc 3.28-3.34, 4 Dy 3.43
5 Sc 0.4838 0.8210 0.6629  1 In 3.09, 7 Sc 3.13-3.34, 3 Dy 3.27-3.44
6 Sc 0.5162 0.1790 0.3371  1 In 3.09, 7 Sc 3.13-3.34, 3 Dy 3.27-3.44
7 Sc 0.7854 0.5000 0.2854  2 In 3.19, 6 Sc 3.28-3.34, 4 Dy 3.43
8 Sc 0.8419 0.1790 0.6629  1 In 3.09, 7 Sc 3.13-3.34, 3 Dy 3.27-3.44
9 In 0.5000 0.0000 0.5000  8 Sc 3.09-3.19, 2 In 3.28

Calculated values
Formation enthalpy at 0 K, eV/f.u.: 0.00
Calculated volume, A^3/atom: 26.02
N(E_F), states/eV per atom: 1.43
Magnetic moment, μB/f.u.: 0.000
VASP energy, eV/atom: -5.55

Record 7
Material: Dy4Sc2In
Method: DFT, GGA-PBE
State: relaxed

abc: 5.3452 6.6719 11.5410
angles: 90.00 103.44 90.00
Closest atoms and distances in Å follow each position.
Fractional positions:
1 Dy 0.0655 0.2500 0.1347  3 In 3.22-3.34, 3 Sc 3.22-3.30, 4 Dy 3.59
2 Dy 0.2111 0.7500 0.4257  1 In 3.07, 4 Sc 3.13-3.34
3 Dy 0.3554 0.5072 0.7084  7 Dy 3.24-3.59, 4 Sc 3.44-3.58, 2 In 3.53-3.55
4 Dy 0.3554 0.9928 0.7084  7 Dy 3.24-3.59, 4 Sc 3.44-3.58, 2 In 3.53-3.55
5 Dy 0.6446 0.0072 0.2916  7 Dy 3.24-3.59, 4 Sc 3.44-3.58, 2 In 3.53-3.55
6 Dy 0.6446 0.4928 0.2916  7 Dy 3.24-3.59, 4 Sc 3.44-3.58, 2 In 3.53-3.55
7 Dy 0.7889 0.2500 0.5743  1 In 3.07, 4 Sc 3.13-3.34
8 Dy 0.9345 0.7500 0.8653  3 In 3.22-3.34, 3 Sc 3.22-3.30, 4 Dy 3.59
9 Sc 0.2154 0.2500 0.4287  9 Dy 3.13-3.49
10 Sc 0.4852 0.2500 0.9744  2 In 3.02-3.03, 2 Dy 3.22, 2 Sc 3.39
11 Sc 0.5148 0.7500 0.0256  2 In 3.02-3.03, 2 Dy 3.22, 2 Sc 3.39
12 Sc 0.7846 0.7500 0.5713  9 Dy 3.13-3.49
13 In 0.0777 0.7500 0.1520  2 Sc 3.02-3.03, 4 Dy 3.07-3.34
14 In 0.9223 0.2500 0.8480  2 Sc 3.02-3.03, 4 Dy 3.07-3.34

Calculated values
Formation enthalpy at 0 K, eV/f.u.: -0.22
Calculated volume, A^3/atom: 28.59
N(E_F), states/eV per atom: 1.68
Magnetic moment, μB/f.u.: 0.755
VASP energy, eV/atom: -4.86

Record 8
Material: DyScIn
Method: DFT, GGA-PBE
State: relaxed

abc: 5.1878 5.1878 6.5998
angles: 90.00 90.00 120.00
Closest atoms and distances in Å follow each position.
Fractional positions:
1 Dy 0.0000 0.0000 0.0000  2 Dy 3.30, 6 In 3.42, 6 Sc 3.42
2 Dy 0.0000 0.0000 0.5000  2 Dy 3.30, 6 Sc 3.42, 6 In 3.42
3 Sc 0.3333 0.6667 0.2500  5 In 3.00-3.30
4 Sc 0.6667 0.3333 0.7500  5 In 3.00-3.30
5 In 0.3333 0.6667 0.7500  5 Sc 3.00-3.30
6 In 0.6667 0.3333 0.2500  5 Sc 3.00-3.30

Calculated values
Formation enthalpy at 0 K, eV/f.u.: -1.11
Calculated volume, A^3/atom: 25.64
N(E_F), states/eV per atom: 1.21
Magnetic moment, μB/f.u.: 0.000
Energy above the most stable polymorph in this dataset, eV/atom: 0.000
VASP energy, eV/atom: -4.93

Record 9
Material: Dy3Sc7In2
Method: DFT, GGA-PBE
State: relaxed

abc: 10.7135 10.7135 10.7135
angles: 33.31 33.31 33.31
Closest atoms and distances in Å follow each position.
Fractional positions:
1 Dy 0.0000 0.0000 0.0000  6 In 3.55, 12 Sc 3.95
2 Dy 0.1452 0.1452 0.1452  12 Sc 3.60-3.68, 3 Dy 3.78
3 Dy 0.8548 0.8548 0.8548  12 Sc 3.60-3.68, 3 Dy 3.78
4 Sc 0.0829 0.5813 0.5813  2 In 3.05, 5 Sc 3.06-3.12
5 Sc 0.4187 0.4187 0.9171  2 In 3.05, 5 Sc 3.06-3.12
6 Sc 0.4187 0.9171 0.4187  2 In 3.05, 5 Sc 3.06-3.12
7 Sc 0.5000 0.5000 0.5000  6 Sc 3.12
8 Sc 0.5813 0.0829 0.5813  2 In 3.05, 5 Sc 3.06-3.12
9 Sc 0.5813 0.5813 0.0829  2 In 3.05, 5 Sc 3.06-3.12
10 Sc 0.9171 0.4187 0.4187  2 In 3.05, 5 Sc 3.06-3.12
11 In 0.3334 0.3334 0.3334  6 Sc 3.05
12 In 0.6666 0.6666 0.6666  6 Sc 3.05

Calculated values
Formation enthalpy at 0 K, eV/f.u.: 0.51
Calculated volume, A^3/atom: 27.51
N(E_F), states/eV per atom: 2.07
Magnetic moment, μB/f.u.: 1.636
VASP energy, eV/atom: -5.26

Record 10
Material: DySc2In9
Method: DFT, GGA-PBE
State: relaxed

abc: 4.5653 4.5653 13.6794
angles: 90.00 90.00 90.00
Closest atoms and distances in Å follow each position.
Fractional positions:
1 Dy 0.0000 0.0000 0.0000  12 In 3.23-3.28
2 Sc 0.0000 0.0000 0.3360  12 In 3.20-3.23
3 Sc 0.0000 0.0000 0.6640  12 In 3.20-3.23
4 In 0.0000 0.5000 0.1721  8 In 3.19-3.28, 2 Sc 3.20, 2 Dy 3.28
5 In 0.0000 0.5000 0.5000  4 Sc 3.20, 8 In 3.21-3.23
6 In 0.0000 0.5000 0.8279  8 In 3.19-3.28, 2 Sc 3.20, 2 Dy 3.28
7 In 0.5000 0.0000 0.1721  8 In 3.19-3.28, 2 Sc 3.20, 2 Dy 3.28
8 In 0.5000 0.0000 0.5000  4 Sc 3.20, 8 In 3.21-3.23
9 In 0.5000 0.0000 0.8279  8 In 3.19-3.28, 2 Sc 3.20, 2 Dy 3.28
10 In 0.5000 0.5000 0.0000  4 Dy 3.23, 8 In 3.28
11 In 0.5000 0.5000 0.3351  8 In 3.19-3.21, 4 Sc 3.23
12 In 0.5000 0.5000 0.6649  8 In 3.19-3.21, 4 Sc 3.23

Calculated values
Formation enthalpy at 0 K, eV/f.u.: -4.08
Calculated volume, A^3/atom: 23.76
N(E_F), states/eV per atom: 0.31
Magnetic moment, μB/f.u.: 0.000
VASP energy, eV/atom: -3.83

Record 11
Material: Dy12Sc7In
Method: DFT, GGA-PBE
State: relaxed

abc: 8.5243 8.5243 8.5243
angles: 102.00 102.00 102.00
Closest atoms and distances in Å follow each position.
Fractional positions:
1 Dy 0.0070 0.2629 0.7381  6 Dy 3.27-3.56, 5 Sc 3.29-3.57
2 Dy 0.1495 0.4194 0.1775  6 Dy 3.27-3.56, 3 Sc 3.43-3.54, 1 In 3.45
3 Dy 0.1775 0.1495 0.4194  6 Dy 3.27-3.56, 3 Sc 3.43-3.54, 1 In 3.45
4 Dy 0.2619 0.9930 0.7371  6 Dy 3.27-3.56, 5 Sc 3.29-3.57
5 Dy 0.2629 0.7381 0.0070  6 Dy 3.27-3.55, 5 Sc 3.29-3.57
6 Dy 0.4194 0.1775 0.1495  6 Dy 3.27-3.55, 3 Sc 3.43-3.54, 1 In 3.45
7 Dy 0.5806 0.8225 0.8505  6 Dy 3.27-3.56, 3 Sc 3.43-3.54, 1 In 3.45
8 Dy 0.7371 0.2619 0.9930  6 Dy 3.27-3.56, 5 Sc 3.29-3.57
9 Dy 0.7381 0.0070 0.2629  6 Dy 3.27-3.56, 5 Sc 3.29-3.57
10 Dy 0.8225 0.8505 0.5806  6 Dy 3.27-3.56, 3 Sc 3.43-3.54, 1 In 3.45
11 Dy 0.8505 0.5806 0.8225  6 Dy 3.27-3.56, 3 Sc 3.43-3.54, 1 In 3.45
12 Dy 0.9930 0.7371 0.2619  6 Dy 3.27-3.56, 5 Sc 3.29-3.57
13 Sc 0.0000 0.0000 0.0000  12 Dy 3.43-3.48
14 Sc 0.1835 0.5876 0.5941  3 Sc 3.09-3.28, 1 In 3.16, 3 Dy 3.29-3.45
15 Sc 0.4059 0.8165 0.4124  3 Sc 3.09-3.28, 1 In 3.16, 3 Dy 3.29-3.45
16 Sc 0.4124 0.4059 0.8165  3 Sc 3.09-3.28, 1 In 3.16, 3 Dy 3.29-3.45
17 Sc 0.5876 0.5941 0.1835  3 Sc 3.09-3.28, 1 In 3.16, 3 Dy 3.29-3.45
18 Sc 0.5941 0.1835 0.5876  3 Sc 3.09-3.28, 1 In 3.16, 3 Dy 3.29-3.45
19 Sc 0.8165 0.4124 0.4059  3 Sc 3.09-3.28, 1 In 3.16, 3 Dy 3.29-3.45
20 In 0.5000 0.5000 0.5000  6 Sc 3.16, 6 Dy 3.45

Calculated values
Formation enthalpy at 0 K, eV/f.u.: 0.99
Calculated volume, A^3/atom: 28.59
N(E_F), states/eV per atom: 1.68
Magnetic moment, μB/f.u.: 0.001
VASP energy, eV/atom: -5.06

Record 12
Material: Dy2Sc8In
Method: DFT, GGA-PBE
State: relaxed

abc: 7.9134 7.9134 6.4295
angles: 103.39 103.39 46.31
Closest atoms and distances in Å follow each position.
Fractional positions:
1 Dy 0.1955 0.1955 0.4234  3 Sc 3.02-3.19
2 Dy 0.8045 0.8045 0.5766  3 Sc 3.02-3.19
3 Sc 0.1854 0.6493 0.2989  4 Sc 2.89-3.19, 1 In 3.01, 1 Dy 3.19
4 Sc 0.2305 0.2305 0.9793  5 Sc 2.94-3.16, 1 Dy 3.02
5 Sc 0.3507 0.8146 0.7011  4 Sc 2.89-3.19, 1 In 3.01, 1 Dy 3.19
6 Sc 0.4048 0.4048 0.8093  4 Sc 3.00-3.20
7 Sc 0.5952 0.5952 0.1907  4 Sc 3.00-3.20
8 Sc 0.6493 0.1854 0.2989  4 Sc 2.89-3.19, 1 In 3.01, 1 Dy 3.19
9 Sc 0.7695 0.7695 0.0207  5 Sc 2.94-3.16, 1 Dy 3.02
10 Sc 0.8146 0.3507 0.7011  4 Sc 2.89-3.19, 1 In 3.01, 1 Dy 3.19
11 In 0.0000 0.0000 0.0000  4 Sc 3.01

Calculated values
Formation enthalpy at 0 K, eV/f.u.: 0.77
Calculated volume, A^3/atom: 25.61
N(E_F), states/eV per atom: 1.58
Magnetic moment, μB/f.u.: 0.001
VASP energy, eV/atom: -5.62